Computed, not measured: a geometry-optimized Tl2AgTe3 structure at the PBE-GGA level of DFT.

Structure (POSCAR):
```
Tl2AgTe3
1.0
9.0229 0.0000 0.0000
0.0000 4.3777 0.0000
0.0000 0.0000 20.3277
Tl Ag Te
8 4 12
direct
0.0882 0.2500 0.0993
0.1768 0.2500 0.3156
0.3232 0.7500 0.8156
0.4118 0.7500 0.5993
0.5882 0.2500 0.4007
0.6768 0.2500 0.1844
0.8232 0.7500 0.6844
0.9118 0.7500 0.9007
0.0603 0.7500 0.4581
0.4397 0.2500 0.9581
0.5603 0.7500 0.0419
0.9397 0.2500 0.5419
0.0440 0.2500 0.7788
0.1462 0.2500 0.6472
0.2460 0.2500 0.4841
0.2540 0.7500 0.9841
0.3538 0.7500 0.1472
0.4560 0.7500 0.2788
0.5440 0.2500 0.7212
0.6462 0.2500 0.8528
0.7460 0.2500 0.0159
0.7540 0.7500 0.5159
0.8538 0.7500 0.3528
0.9560 0.7500 0.2212
```

Summary:
The value obtained for the calculated volume is 33.5 A^3/atom. As for the raw total energy: -2.9741 eV per atom.

---

Computed, not measured: a geometry-optimized Al3GeIr structure at the PBE-GGA level of DFT.

Structure (POSCAR):
```
Al3GeIr
1.0
4.7380 0.0000 0.0000
0.0000 4.7380 0.0000
0.0000 0.0000 4.7380
Al Ge Ir
3 1 1
direct
0.0000 0.0000 0.5000
0.0000 0.5000 0.0000
0.5000 0.0000 0.0000
0.5000 0.5000 0.5000
0.0000 0.0000 0.0000
```

Summary:
The value obtained for the calculated volume is 21.3 A^3/atom. The energy relative to the elements is 0.21 eV per formula unit.

---

Computed, not measured: a geometry-optimized HgPbBr2 structure at the PBE-GGA level of DFT.

Structure (POSCAR):
```
HgPbBr2
1.0
3.8125 0.0000 0.0000
0.0000 3.8142 0.0000
-0.0301 0.0000 9.8302
Hg Pb Br
1 1 2
direct
0.0000 0.0000 0.0000
0.0000 0.0000 0.5000
0.4994 0.5000 0.3207
0.5006 0.5000 0.6793
```

Summary:
The value obtained for the calculated volume is 35.7 A^3/atom. As for the raw total energy: -2.3941 eV per atom.

---

Computed, not measured: a geometry-optimized CdFe2Cl structure at the PBE-GGA level of DFT.

Structure (POSCAR):
```
CdFe2Cl
1.0
3.1082 0.0000 0.0000
0.0000 3.1082 0.0000
0.0000 0.0000 7.4685
Cd Fe Cl
1 2 1
direct
0.0000 0.0000 0.0000
0.0000 0.0000 0.6120
0.5000 0.5000 0.7665
0.5000 0.5000 0.4225
```

Summary:
The value obtained for the calculated volume is 18.0 A^3/atom. As for the raw total energy: -4.8093 eV per atom.

---

Computed, not measured: a geometry-optimized AsIr2 structure at the PBE-GGA level of DFT.

Structure (POSCAR):
```
AsIr2
1.0
-1.4878 1.4878 10.5893
1.4878 -1.4878 10.5893
1.4878 1.4878 -10.5893
As Ir
2 4
direct
0.3750 0.6250 0.7500
0.6250 0.3750 0.2500
0.0546 0.8046 0.2500
0.1954 0.9454 0.2500
0.8046 0.0546 0.7500
0.9454 0.1954 0.7500
```

Summary:
The value obtained for the calculated volume is 15.6 A^3/atom. The energy relative to the elements is 0.92 eV per formula unit.

---

Computed, not measured: a geometry-optimized Pm2GaRu2 structure at the PBE-GGA level of DFT.

Structure (POSCAR):
```
Pm2GaRu2
1.0
-2.1046 2.8995 4.3618
2.1046 -2.8995 4.3618
2.1046 2.8995 -4.3618
Pm Ga Ru
2 1 2
direct
0.2072 0.2072 0.0000
0.7928 0.7928 0.0000
0.5000 0.0000 0.5000
0.2235 0.5000 0.7235
0.7765 0.5000 0.2765
```

Summary:
The value obtained for the calculated volume is 21.3 A^3/atom. The energy relative to the elements is -1.98 eV per formula unit.